PmSm4Ga4 PBE optimized geometry; symmetry = No. 137; formation energy from the elements = -0.2967 eV/atom; Fermi-level density of states = 9.8 states/eV/f.u.; E = -76.8 eV for the cell shown; total magnetic moment = 0.1 μB per cell
1.0
7.265 0.000 0.000
0.000 7.265 0.000
0.000 0.000 9.967
Pm Sm Ga
2 8 8
direct
0.250 0.750 0.250
0.750 0.250 0.750
0.007 0.750 0.602
0.250 0.507 0.898
0.250 0.993 0.898
0.493 0.750 0.602
0.507 0.250 0.398
0.750 0.007 0.102
0.750 0.493 0.102
0.993 0.250 0.398
0.079 0.250 0.104
0.250 0.079 0.604
0.250 0.421 0.604
0.421 0.250 0.104
0.579 0.750 0.896
0.750 0.579 0.396
0.750 0.921 0.396
0.921 0.750 0.896